Material: TbPm2Pr5
Method: DFT, PBE
State: optimized geometry

Properties
* ΔE_f: 0.01 eV/atom
* D(E_F): 1.596 states/eV/atom
* space group: Pbam (55)
* spin magnetization: 0.00 μB per atom
* theoretical density: 6.80 g cm⁻³

Cell lengths 7.347, 14.716, 5.209 Å; angles 90.00, 90.00, 90.00 degrees
Element x y z (fractional)
Tb1 0.000 0.000 0.000
Tb2 0.500 0.500 0.000
Pm1 0.250 0.124 0.500
Pm2 0.250 0.624 0.500
Pm3 0.750 0.376 0.500
Pm4 0.750 0.876 0.500
Pr1 0.000 0.500 0.000
Pr2 0.001 0.249 0.000
Pr3 0.248 0.876 0.500
Pr4 0.252 0.376 0.500
Pr5 0.499 0.749 0.000
Pr6 0.500 0.000 0.000
Pr7 0.501 0.251 0.000
Pr8 0.748 0.624 0.500
Pr9 0.752 0.124 0.500
Pr10 0.999 0.751 0.000